# 1
DFT (PBE) results for TiInCoRu2 after structural relaxation.

Summary:
V: 101.39 Å³/cell
formation energy from the elements: 1.307 eV per atom

Cell: 4.4599 4.4599 5.0976 Å, 90.00 90.00 90.00°
Space group P4/mmm (No. 123)
Unique sites:
Ti: 0.0000 0.0000 0.0000 (multiplicity 1)
In: 0.0000 0.0000 0.5000 (multiplicity 1)
Co: 0.5000 0.5000 0.5000 (multiplicity 1)
Ru: 0.0000 0.5000 0.0000 (multiplicity 2)


# 2
DFT (PBE) results for TbN2F4 after structural relaxation.

Summary:
raw formation energy: -2.24 eV per atom
V: 128.30 Å³/cell

Cell: 3.6233 4.3979 8.0740 Å, 86.41 87.71 89.99°
Space group P-1 (No. 2)
Unique sites:
Tb: 0.0000 0.0000 0.0000 (multiplicity 1)
N: 0.0198 0.5994 0.5382 (multiplicity 2)
F: 0.0116 0.5167 0.8783 (multiplicity 2)
F: 0.4855 0.9752 0.1608 (multiplicity 2)


# 3
DFT (PBE) results for ScTeWSe2 after structural relaxation.

Summary:
raw formation energy: 0.13 eV per atom
V: 132.49 Å³/cell

Cell: 4.8040 4.8040 5.7409 Å, 90.00 90.00 90.00°
Space group P4/mmm (No. 123)
Unique sites:
Sc: 0.0000 0.0000 0.0000 (multiplicity 1)
Te: 0.5000 0.5000 0.0000 (multiplicity 1)
W: 0.5000 0.5000 0.5000 (multiplicity 1)
Se: 0.0000 0.5000 0.5000 (multiplicity 2)


# 4
DFT (PBE) results for SmHo2Ga2 after structural relaxation.

Summary:
V: 266.22 Å³/cell
formation energy from the elements: -0.383 eV per atom

Cell: 12.4850 3.7511 5.8269 Å, 90.00 102.70 90.00°
Space group C2/m (No. 12)
Unique sites:
Sm: 0.0000 0.0000 0.0000 (multiplicity 2)
Ho: 0.1382 0.5000 0.5698 (multiplicity 4)
Ga: 0.2061 0.5000 0.1130 (multiplicity 4)


# 5
DFT (PBE) results for Pm3C2 after structural relaxation.

Summary:
V: 651.60 Å³/cell
formation energy from the elements: -0.024 eV per atom

Cell: 6.4219 6.4219 18.2407 Å, 90.00 90.00 120.00°
Space group R-3c (No. 167, hexagonal axes)
Unique sites:
Pm: 0.0000 0.3112 0.2500 (multiplicity 18)
C: 0.0000 0.0000 0.1562 (multiplicity 12)


| no. | VASP energy (eV for the cell shown) |
| --- | --- |
| 1 | -29.8 |
| 2 | -44.4 |
| 3 | -28.8 |
| 4 | -43.7 |
| 5 | -196.9 |